# 1
SnIrO2 (GGA-PBE, relaxed); space group = R-3m, No. 166; crystal system = trigonal; formation energy without anion corrections = -0.5438 eV per atom; V = 14.657 Å³/atom
1.0
1.875 0.000 6.421
-0.937 1.623 6.421
-0.937 -1.623 6.421
Ir Sn O
1 1 2
direct
0.500 0.500 0.500
0.000 0.000 0.000
0.880 0.880 0.880
0.120 0.120 0.120

# 2
SnIrO2 (GGA-PBE, relaxed); space group = I-42d, No. 122; crystal system = tetragonal; formation energy without anion corrections = -0.2151 eV per atom; V = 14.004 Å³/atom
1.0
-1.083 -3.855 0.834
3.735 -0.723 1.504
-0.753 -0.391 7.244
Ir Sn O
2 2 4
direct
0.000 0.000 0.000
0.750 0.250 0.500
0.500 0.500 0.000
0.250 0.750 0.500
0.673 0.125 0.250
0.077 0.625 0.250
0.375 0.327 0.750
0.875 0.923 0.750

# 3
Sr2SnIrO6 (GGA-PBE, relaxed); space group = P2_1/c, No. 14; crystal system = monoclinic; formation energy without anion corrections = -1.8656 eV per atom; V = 13.299 Å³/atom
1.0
5.723 0.000 -0.029
0.000 5.745 0.000
0.010 0.000 8.089
Sr Sn Ir O
4 2 2 12
direct
0.007 0.964 0.249
0.507 0.536 0.749
0.993 0.036 0.751
0.493 0.464 0.251
0.500 0.000 0.000
0.000 0.500 0.500
0.500 0.000 0.500
0.000 0.500 0.000
0.285 0.709 0.040
0.785 0.791 0.540
0.715 0.291 0.960
0.215 0.209 0.460
0.293 0.714 0.461
0.793 0.786 0.961
0.707 0.286 0.539
0.207 0.214 0.039
0.924 0.517 0.247
0.424 0.983 0.747
0.076 0.483 0.753
0.576 0.017 0.253

# 4
TlSnIrO6 (GGA-PBE, relaxed); space group = Imma, No. 74; crystal system = orthorhombic; formation energy without anion corrections = -0.8280 eV per atom; V = 15.949 Å³/atom
1.0
7.342 0.000 0.000
0.000 7.344 0.000
-3.671 -3.672 5.325
Tl Sn Ir O
2 2 2 12
direct
0.912 0.662 0.825
0.088 0.338 0.175
0.500 0.000 0.500
0.000 0.000 0.500
0.500 0.500 0.000
0.500 0.000 0.000
0.441 0.691 0.882
0.831 0.081 0.661
0.806 0.074 0.239
0.434 0.666 0.239
0.434 0.074 0.239
0.806 0.666 0.239
0.559 0.309 0.118
0.169 0.919 0.339
0.194 0.926 0.761
0.566 0.334 0.761
0.566 0.926 0.761
0.194 0.334 0.761

# 5
TmSnIrO6 (GGA-PBE, relaxed); space group = P-31c, No. 163; crystal system = trigonal; formation energy without anion corrections = -1.6907 eV per atom; V = 12.373 Å³/atom
1.0
5.336 0.000 0.000
-2.668 4.621 0.000
0.000 0.000 9.032
Tm Sn Ir O
2 2 2 12
direct
0.333 0.667 0.250
0.667 0.333 0.750
0.000 0.000 0.000
0.000 0.000 0.500
0.667 0.333 0.250
0.333 0.667 0.750
0.677 0.648 0.125
0.970 0.323 0.125
0.323 0.970 0.625
0.030 0.677 0.875
0.352 0.323 0.375
0.970 0.648 0.375
0.648 0.970 0.875
0.677 0.030 0.375
0.030 0.352 0.625
0.352 0.030 0.125
0.648 0.677 0.625
0.323 0.352 0.875

# 6
YSn2IrO (GGA-PBE, relaxed); space group = P4/mmm, No. 123; crystal system = tetragonal; formation energy without anion corrections = -0.3426 eV per atom; V = 23.455 Å³/atom
1.0
5.660 0.000 0.000
0.000 3.661 0.000
0.000 0.000 5.660
Y Ir Sn O
1 1 2 1
direct
0.500 0.500 0.500
0.000 0.000 0.000
0.000 0.000 0.500
0.500 0.000 0.000
0.000 0.500 0.000